Record 1
Na2Al2B2O7: single point on PBEsol structure, SCAN.

a = 4.808 Å, b = 4.808 Å, c = 15.126 Å
α = 90.35°, β = 90.35°, γ = 119.89°
Positions (direct):
Na  0.007  0.993  0.500
Na  0.967  0.983  0.750
Na  0.983  0.967  0.250
Na  0.993  0.007  0.000
Al  0.315  0.682  0.140
Al  0.372  0.684  0.361
Al  0.682  0.315  0.640
Al  0.684  0.372  0.861
B  0.323  0.625  0.606
B  0.326  0.705  0.896
B  0.625  0.323  0.106
B  0.705  0.326  0.396
O  0.029  0.593  0.583
O  0.035  0.446  0.919
O  0.342  0.348  0.614
O  0.343  0.998  0.883
O  0.348  0.342  0.114
O  0.399  0.785  0.251
O  0.446  0.035  0.419
O  0.593  0.029  0.083
O  0.594  0.917  0.620
O  0.597  0.679  0.886
O  0.679  0.597  0.386
O  0.785  0.399  0.751
O  0.917  0.594  0.120
O  0.998  0.343  0.383

ρ: 2.6 g cm⁻³
relative energy among the computed polymorphs: 0 meV per atom
uncorrected formation energy: -2.82 eV per atom
SG: Cc

***

Record 2
Nb3AlB: single point on PBEsol structure, SCAN.

a = 4.333 Å, b = 4.333 Å, c = 4.333 Å
α = 90.00°, β = 90.00°, γ = 90.00°
Positions (direct):
Nb  0.000  0.000  0.500
Nb  0.000  0.500  0.000
Nb  0.500  0.000  0.000
Al  0.500  0.500  0.500
B  0.000  0.000  0.000

ρ: 6.5 g cm⁻³
SG: Pm-3m
formation enthalpy at 0 K: -0.084 eV/atom

***

Record 3
Nb2AlTlB: single point on PBEsol structure, SCAN.

a = 4.862 Å, b = 4.862 Å, c = 3.827 Å
α = 90.00°, β = 90.00°, γ = 90.00°
Positions (direct):
Nb  0.000  0.500  0.000
Nb  0.500  0.000  0.000
Al  0.000  0.000  0.000
Tl  0.500  0.500  0.500
B  0.000  0.000  0.500

ρ: 7.9 g cm⁻³
SG: P4/mmm
formation enthalpy at 0 K: 1.190 eV/atom

***

Record 4
NdAl3B4O12: single point on PBEsol structure, SCAN.

a = 5.922 Å, b = 5.922 Å, c = 5.922 Å
α = 104.37°, β = 104.37°, γ = 104.37°
Positions (direct):
Nd  0.000  0.000  0.000
Al  0.000  0.444  0.556
Al  0.444  0.556  0.000
Al  0.556  0.000  0.444
B  0.058  0.942  0.500
B  0.500  0.058  0.942
B  0.500  0.500  0.500
B  0.942  0.500  0.058
O  0.028  0.774  0.622
O  0.091  0.500  0.909
O  0.226  0.972  0.378
O  0.351  0.500  0.649
O  0.378  0.226  0.972
O  0.500  0.649  0.351
O  0.500  0.909  0.091
O  0.622  0.028  0.774
O  0.649  0.351  0.500
O  0.774  0.622  0.028
O  0.909  0.091  0.500
O  0.972  0.378  0.226

ρ: 4.2 g cm⁻³
uncorrected formation energy: -3.12 eV per atom
SG: R32

***

Record 5
NdAl3B4O12: single point on PBEsol structure, SCAN.

a = 5.929 Å, b = 5.929 Å, c = 11.110 Å
α = 97.96°, β = 97.96°, γ = 104.60°
Positions (direct):
Nd  0.038  0.962  0.750
Nd  0.962  0.038  0.250
Al  0.194  0.694  0.471
Al  0.306  0.806  0.029
Al  0.411  0.589  0.250
Al  0.589  0.411  0.750
Al  0.694  0.194  0.971
Al  0.806  0.306  0.529
B  0.121  0.492  0.778
B  0.223  0.280  0.005
B  0.280  0.223  0.505
B  0.492  0.121  0.278
B  0.508  0.879  0.722
B  0.720  0.777  0.495
B  0.777  0.720  0.995
B  0.879  0.508  0.222
O  0.004  0.807  0.063
O  0.104  0.577  0.295
O  0.130  0.369  0.496
O  0.181  0.697  0.863
O  0.193  0.996  0.437
O  0.270  0.354  0.757
O  0.302  0.507  0.074
O  0.303  0.819  0.637
O  0.354  0.270  0.257
O  0.369  0.130  0.996
O  0.423  0.896  0.205
O  0.493  0.698  0.426
O  0.507  0.302  0.574
O  0.577  0.104  0.795
O  0.631  0.870  0.004
O  0.646  0.730  0.743
O  0.697  0.181  0.363
O  0.698  0.493  0.926
O  0.730  0.646  0.243
O  0.807  0.004  0.563
O  0.819  0.303  0.137
O  0.870  0.631  0.504
O  0.896  0.423  0.705
O  0.996  0.193  0.937

ρ: 4.2 g cm⁻³
uncorrected formation energy: -3.12 eV per atom
SG: C2/c

***

Record 6
Al3Ni20B6: single point on PBEsol structure, SCAN.

a = 7.323 Å, b = 7.323 Å, c = 7.323 Å
α = 60.00°, β = 60.00°, γ = 60.00°
Positions (direct):
Al  0.000  0.000  0.000
Al  0.250  0.250  0.250
Al  0.750  0.750  0.750
Ni  0.000  0.000  0.339
Ni  0.000  0.000  0.661
Ni  0.000  0.339  0.000
Ni  0.000  0.339  0.661
Ni  0.000  0.661  0.000
Ni  0.000  0.661  0.339
Ni  0.147  0.618  0.618
Ni  0.339  0.000  0.000
Ni  0.339  0.000  0.661
Ni  0.339  0.661  0.000
Ni  0.382  0.382  0.382
Ni  0.382  0.382  0.853
Ni  0.382  0.853  0.382
Ni  0.618  0.147  0.618
Ni  0.618  0.618  0.147
Ni  0.618  0.618  0.618
Ni  0.661  0.000  0.000
Ni  0.661  0.000  0.339
Ni  0.661  0.339  0.000
Ni  0.853  0.382  0.382
B  0.274  0.274  0.726
B  0.274  0.726  0.274
B  0.274  0.726  0.726
B  0.726  0.274  0.274
B  0.726  0.274  0.726
B  0.726  0.726  0.274

ρ: 7.9 g cm⁻³
SG: Fm-3m
formation enthalpy at 0 K: -0.422 eV/atom

***

Record 7
AlNi20B14: single point on PBEsol structure, SCAN.

a = 7.464 Å, b = 7.464 Å, c = 7.464 Å
α = 60.00°, β = 60.00°, γ = 60.00°
Positions (direct):
Al  0.000  0.000  0.000
Ni  0.000  0.000  0.334
Ni  0.000  0.000  0.666
Ni  0.000  0.334  0.000
Ni  0.000  0.334  0.666
Ni  0.000  0.666  0.000
Ni  0.000  0.666  0.334
Ni  0.135  0.622  0.622
Ni  0.334  0.000  0.000
Ni  0.334  0.000  0.666
Ni  0.334  0.666  0.000
Ni  0.378  0.378  0.378
Ni  0.378  0.378  0.865
Ni  0.378  0.865  0.378
Ni  0.622  0.135  0.622
Ni  0.622  0.622  0.135
Ni  0.622  0.622  0.622
Ni  0.666  0.000  0.000
Ni  0.666  0.000  0.334
Ni  0.666  0.334  0.000
Ni  0.865  0.378  0.378
B  0.189  0.189  0.189
B  0.189  0.189  0.432
B  0.189  0.432  0.189
B  0.276  0.276  0.724
B  0.276  0.724  0.276
B  0.276  0.724  0.724
B  0.432  0.189  0.189
B  0.568  0.811  0.811
B  0.724  0.276  0.276
B  0.724  0.276  0.724
B  0.724  0.724  0.276
B  0.811  0.568  0.811
B  0.811  0.811  0.568
B  0.811  0.811  0.811

ρ: 7.6 g cm⁻³
SG: Fm-3m
formation enthalpy at 0 K: -0.290 eV/atom

***

Record 8
Al3NiB: single point on PBEsol structure, SCAN.

a = 4.052 Å, b = 4.052 Å, c = 4.052 Å
α = 90.00°, β = 90.00°, γ = 90.00°
Positions (direct):
Al  0.000  0.000  0.500
Al  0.000  0.500  0.000
Al  0.500  0.000  0.000
Ni  0.500  0.500  0.500
B  0.000  0.000  0.000

ρ: 3.8 g cm⁻³
SG: Pm-3m
formation enthalpy at 0 K: 0.238 eV/atom

***

Record 9
AlNi9B8: single point on PBEsol structure, SCAN.

a = 5.335 Å, b = 5.335 Å, c = 10.669 Å
α = 90.00°, β = 90.00°, γ = 97.01°
Positions (direct):
Al  0.087  0.913  0.750
Al  0.913  0.087  0.250
Ni  0.000  0.000  0.000
Ni  0.000  0.000  0.500
Ni  0.051  0.395  0.750
Ni  0.239  0.378  0.115
Ni  0.239  0.378  0.385
Ni  0.290  0.710  0.580
Ni  0.290  0.710  0.920
Ni  0.378  0.239  0.615
Ni  0.378  0.239  0.885
Ni  0.395  0.051  0.250
Ni  0.605  0.949  0.750
Ni  0.622  0.761  0.115
Ni  0.622  0.761  0.385
Ni  0.710  0.290  0.080
Ni  0.710  0.290  0.420
Ni  0.761  0.622  0.615
Ni  0.761  0.622  0.885
Ni  0.949  0.605  0.250
B  0.043  0.382  0.551
B  0.043  0.382  0.949
B  0.219  0.781  0.120
B  0.219  0.781  0.380
B  0.354  0.646  0.250
B  0.382  0.043  0.051
B  0.382  0.043  0.449
B  0.430  0.570  0.750
B  0.570  0.430  0.250
B  0.618  0.957  0.551
B  0.618  0.957  0.949
B  0.646  0.354  0.750
B  0.781  0.219  0.620
B  0.781  0.219  0.880
B  0.957  0.618  0.051
B  0.957  0.618  0.449

ρ: 7.1 g cm⁻³
SG: Cmcm
formation enthalpy at 0 K: -0.298 eV/atom

***

Record 10
AlB2O: single point on PBEsol structure, SCAN.

a = 3.791 Å, b = 3.791 Å, c = 10.402 Å
α = 90.00°, β = 90.00°, γ = 90.00°
Positions (direct):
Al  0.000  0.000  0.000
Al  0.000  0.500  0.250
Al  0.500  0.000  0.750
Al  0.500  0.500  0.500
B  0.071  0.250  0.625
B  0.250  0.571  0.875
B  0.250  0.929  0.375
B  0.429  0.250  0.125
B  0.571  0.750  0.125
B  0.750  0.071  0.375
B  0.750  0.429  0.875
B  0.929  0.750  0.625
O  0.000  0.000  0.500
O  0.000  0.500  0.750
O  0.500  0.000  0.250
O  0.500  0.500  0.000

ρ: 2.9 g cm⁻³
uncorrected formation energy: 0.27 eV per atom
SG: I-42d

***

Record 11
PrAl3B4O12: single point on PBEsol structure, SCAN.

a = 5.983 Å, b = 5.983 Å, c = 11.271 Å
α = 98.35°, β = 98.35°, γ = 104.25°
Positions (direct):
Pr  0.038  0.962  0.750
Pr  0.962  0.038  0.250
Al  0.195  0.694  0.472
Al  0.306  0.805  0.028
Al  0.411  0.589  0.250
Al  0.589  0.411  0.750
Al  0.694  0.195  0.972
Al  0.805  0.306  0.528
B  0.123  0.492  0.778
B  0.223  0.281  0.006
B  0.281  0.223  0.506
B  0.492  0.123  0.278
B  0.508  0.877  0.722
B  0.719  0.777  0.494
B  0.777  0.719  0.994
B  0.877  0.508  0.222
O  0.003  0.805  0.060
O  0.102  0.577  0.295
O  0.130  0.368  0.496
O  0.182  0.694  0.863
O  0.195  0.997  0.440
O  0.271  0.355  0.757
O  0.303  0.507  0.075
O  0.306  0.818  0.637
O  0.355  0.271  0.257
O  0.368  0.130  0.996
O  0.423  0.898  0.205
O  0.493  0.697  0.425
O  0.507  0.303  0.575
O  0.577  0.102  0.795
O  0.632  0.870  0.004
O  0.645  0.729  0.743
O  0.694  0.182  0.363
O  0.697  0.493  0.925
O  0.729  0.645  0.243
O  0.805  0.003  0.560
O  0.818  0.306  0.137
O  0.870  0.632  0.504
O  0.898  0.423  0.705
O  0.997  0.195  0.940

ρ: 4.0 g cm⁻³
uncorrected formation energy: -3.11 eV per atom
SG: C2/c

***

Record 12
Rb2Al2B2O7: single point on PBEsol structure, SCAN.

a = 8.876 Å, b = 7.551 Å, c = 11.957 Å
α = 90.00°, β = 104.51°, γ = 90.00°
Positions (direct):
Rb  0.037  0.138  0.125
Rb  0.037  0.362  0.625
Rb  0.454  0.632  0.850
Rb  0.454  0.868  0.350
Rb  0.546  0.132  0.650
Rb  0.546  0.368  0.150
Rb  0.963  0.638  0.375
Rb  0.963  0.862  0.875
Al  0.186  0.578  0.135
Al  0.186  0.922  0.635
Al  0.344  0.126  0.879
Al  0.344  0.374  0.379
Al  0.656  0.626  0.621
Al  0.656  0.874  0.121
Al  0.814  0.078  0.365
Al  0.814  0.422  0.865
B  0.155  0.088  0.409
B  0.155  0.412  0.909
B  0.314  0.618  0.558
B  0.314  0.882  0.058
B  0.686  0.118  0.942
B  0.686  0.382  0.442
B  0.845  0.588  0.091
B  0.845  0.912  0.591
O  0.005  0.034  0.358
O  0.005  0.466  0.858
O  0.199  0.694  0.603
O  0.199  0.806  0.103
O  0.228  0.047  0.522
O  0.228  0.453  0.022
O  0.237  0.177  0.343
O  0.237  0.323  0.843
O  0.274  0.032  0.992
O  0.274  0.468  0.492
O  0.317  0.519  0.263
O  0.317  0.981  0.763
O  0.459  0.693  0.580
O  0.459  0.807  0.080
O  0.541  0.193  0.920
O  0.541  0.307  0.420
O  0.683  0.019  0.237
O  0.683  0.481  0.737
O  0.726  0.532  0.508
O  0.726  0.968  0.008
O  0.763  0.677  0.157
O  0.763  0.823  0.657
O  0.772  0.547  0.978
O  0.772  0.953  0.478
O  0.801  0.194  0.897
O  0.801  0.306  0.397
O  0.995  0.534  0.142
O  0.995  0.966  0.642

ρ: 3.1 g cm⁻³
uncorrected formation energy: -2.85 eV per atom
SG: P2_1/c

***

Record 13
SrAl2B2O7: single point on PBEsol structure, SCAN.

a = 16.241 Å, b = 16.241 Å, c = 16.241 Å
α = 17.43°, β = 17.43°, γ = 17.43°
Positions (direct):
Sr  0.000  0.000  0.000
Sr  0.500  0.500  0.500
Al  0.215  0.215  0.215
Al  0.285  0.285  0.285
Al  0.715  0.715  0.715
Al  0.785  0.785  0.785
B  0.133  0.133  0.133
B  0.367  0.367  0.367
B  0.633  0.633  0.633
B  0.867  0.867  0.867
O  0.062  0.424  0.612
O  0.076  0.438  0.888
O  0.112  0.924  0.562
O  0.250  0.250  0.250
O  0.388  0.938  0.576
O  0.424  0.612  0.062
O  0.438  0.888  0.076
O  0.562  0.112  0.924
O  0.576  0.388  0.938
O  0.612  0.062  0.424
O  0.750  0.750  0.750
O  0.888  0.076  0.438
O  0.924  0.562  0.112
O  0.938  0.576  0.388

ρ: 2.7 g cm⁻³
uncorrected formation energy: -3.11 eV per atom
SG: R-3c